TaPNO2 (GGA-PBE, optimized geometry); formation energy without anion corrections = -668 meV/atom; total magnetization = 0.7 μB/f.u.
1.0
3.894 0.000 0.000
0.000 3.894 0.000
0.000 0.000 4.275
O P N Ta
2 1 1 1
Direct
0.000 0.500 0.000 O
0.500 0.000 0.000 O
0.500 0.500 0.500 P
0.000 0.000 0.500 N
0.000 0.000 0.000 Ta

FeReSe4 (GGA-PBE, optimized geometry); formation energy without anion corrections = 1537 meV/atom; total magnetization = 6.9 μB/f.u.
1.0
1.982 -1.999 4.761
-1.135 2.569 4.764
-3.427 -2.341 3.656
Se Fe Re
4 1 1
Direct
0.876 0.375 0.375 Se
0.375 0.375 0.876 Se
0.375 0.876 0.375 Se
0.375 0.375 0.375 Se
0.750 0.750 0.750 Fe
0.000 0.000 0.000 Re

Q: Which of these has the highest formation energy without anion corrections?
A: FeReSe4